(1)
DFT (PBE) results for crystalline Ho4GaTc at its relaxed geometry.

Summary:
Final energy   -133.3 eV for the cell shown
Crystal system   monoclinic
V   156.98 Å³/f.u.

a b c (Å): 8.8753 13.0096 6.1982
angles (deg): 90.00 118.67 90.00
Space group C2/c (No. 15)
Asymmetric unit:
Ho 0.1173 0.1740 0.0806
Ho 0.2109 0.4310 0.3088
Ga 0.0000 0.3701 0.7500
Tc 0.0000 0.0006 0.7500



(2)
DFT (PBE) results for crystalline Ho2GaTc at its relaxed geometry.

Summary:
Final energy   -23.7 eV for the cell shown
Crystal system   tetragonal
V   85.42 Å³/f.u.

a b c (Å): 3.5342 3.5342 6.8384
angles (deg): 90.00 90.00 90.00
Space group P4/mmm (No. 123)
Asymmetric unit:
Ho 0.0000 0.0000 0.2344
Ga 0.5000 0.5000 0.5000
Tc 0.5000 0.5000 0.0000



(3)
DFT (PBE) results for crystalline HoGa8Tc2 at its relaxed geometry.

Summary:
Final energy   -102.8 eV for the cell shown
Crystal system   monoclinic
V   212.13 Å³/f.u.

a b c (Å): 8.7482 10.2884 4.8487
angles (deg): 90.00 103.55 90.00
Space group C2/m (No. 12)
Asymmetric unit:
Ho 0.0000 0.0000 0.0000
Ga 0.0000 0.2946 0.0000
Ga 0.1191 0.5000 0.7448
Ga 0.2263 0.1285 0.6028
Tc 0.0000 0.2804 0.5000



(4)
DFT (PBE) results for crystalline Ho2Ga4Tc3 at its relaxed geometry.

Summary:
Final energy   -223.2 eV for the cell shown
Crystal system   orthorhombic
V   163.71 Å³/f.u.

a b c (Å): 5.3049 9.3972 13.1356
angles (deg): 90.00 90.00 90.00
Space group Fmmm (No. 69)
Asymmetric unit:
Ho 0.0000 0.0000 0.1265
Ga 0.0000 0.1674 0.3316
Tc 0.0000 0.0000 0.5000
Tc 0.2500 0.2500 0.0000



(5)
DFT (PBE) results for crystalline Ho2GaTc at its relaxed geometry.

Summary:
Final energy   -65.0 eV for the cell shown
Crystal system   trigonal
V   100.94 Å³/f.u.

a b c (Å): 3.3931 3.3931 30.3701
angles (deg): 90.00 90.00 120.00
Space group R-3m (No. 166, hexagonal axes)
Asymmetric unit:
Ho 0.0000 0.0000 0.1004
Ga 0.0000 0.0000 0.0000
Tc 0.0000 0.0000 0.5000



(6)
DFT (PBE) results for crystalline HoGa2Tc at its relaxed geometry.

Summary:
Excess energy over the best structure of this formula in the dataset   355 meV per atom
Final energy   -64.3 eV for the cell shown
Crystal system   trigonal
V   79.31 Å³/f.u.

a b c (Å): 3.6671 3.6671 20.4300
angles (deg): 90.00 90.00 120.00
Space group R-3m (No. 166, hexagonal axes)
Asymmetric unit:
Ho 0.0000 0.0000 0.0000
Ga 0.0000 0.0000 0.2352
Tc 0.0000 0.0000 0.5000



(7)
DFT (PBE) results for crystalline HoGa2Tc at its relaxed geometry.

Summary:
Excess energy over the best structure of this formula in the dataset   175 meV per atom
Final energy   -22.2 eV for the cell shown
Crystal system   tetragonal
V   71.92 Å³/f.u.

a b c (Å): 3.3529 3.3529 6.3973
angles (deg): 90.00 90.00 90.00
Space group P4/mmm (No. 123)
Asymmetric unit:
Ho 0.0000 0.0000 0.0000
Ga 0.5000 0.5000 0.2996
Tc 0.0000 0.0000 0.5000



(8)
DFT (PBE) results for crystalline HoGaTc at its relaxed geometry.

Summary:
Excess energy over the best structure of this formula in the dataset   265 meV per atom
Final energy   -74.2 eV for the cell shown
Crystal system   monoclinic
V   58.50 Å³/f.u.

a b c (Å): 8.7045 4.5737 6.0656
angles (deg): 90.00 104.32 90.00
Space group C2/m (No. 12)
Asymmetric unit:
Ho 0.1884 0.0000 0.1461
Ga 0.0403 0.5000 0.3096
Tc 0.1386 0.0000 0.5980



(9)
DFT (PBE) results for crystalline Ho3Ga3Tc at its relaxed geometry.

Summary:
Final energy   -146.6 eV for the cell shown
Crystal system   monoclinic
V   153.68 Å³/f.u.

a b c (Å): 10.7946 4.2058 14.3543
angles (deg): 90.00 109.39 90.00
Space group C2/m (No. 12)
Asymmetric unit:
Ho 0.0293 0.0000 0.3813
Ho 0.1080 0.0000 0.9245
Ho 0.2431 0.0000 0.2341
Ga 0.0364 0.5000 0.2319
Ga 0.1103 0.5000 0.0755
Ga 0.1348 0.5000 0.5443
Tc 0.2330 0.5000 0.4007



(10)
DFT (PBE) results for crystalline HoGa2Tc at its relaxed geometry.

Summary:
Excess energy over the best structure of this formula in the dataset   0 meV per atom
Final energy   -91.4 eV for the cell shown
Crystal system   orthorhombic
V   73.46 Å³/f.u.

a b c (Å): 7.0513 4.2638 9.7734
angles (deg): 90.00 90.00 90.00
Space group Pnma (No. 62)
Asymmetric unit:
Ho 0.1927 0.2500 0.1792
Ga 0.0972 0.2500 0.8285
Ga 0.1958 0.7500 0.9693
Tc 0.0388 0.7500 0.4381



(11)
DFT (PBE) results for crystalline HoGaTc at its relaxed geometry.

Summary:
Excess energy over the best structure of this formula in the dataset   199 meV per atom
Final energy   -37.5 eV for the cell shown
Crystal system   tetragonal
V   56.80 Å³/f.u.

a b c (Å): 3.4414 3.4414 9.5912
angles (deg): 90.00 90.00 90.00
Space group I4mm (No. 107)
Asymmetric unit:
Ho 0.0000 0.0000 0.0000
Ga 0.0000 0.0000 0.7018
Tc 0.0000 0.0000 0.3100



(12)
DFT (PBE) results for crystalline Ho3Ga8Tc3 at its relaxed geometry.

Summary:
Final energy   -151.1 eV for the cell shown
Crystal system   orthorhombic
V   252.36 Å³/f.u.

a b c (Å): 4.3056 9.3681 12.5133
angles (deg): 90.00 90.00 90.00
Space group Immm (No. 71)
Asymmetric unit:
Ho 0.0000 0.0000 0.0000
Ho 0.0000 0.0000 0.2955
Ga 0.0000 0.2887 0.1350
Ga 0.0000 0.3627 0.3505
Tc 0.0000 0.1669 0.5000
Tc 0.0000 0.5000 0.0000



(13)
DFT (PBE) results for crystalline Ho2Ga2Tc at its relaxed geometry.

Summary:
Final energy   -111.2 eV for the cell shown
Crystal system   monoclinic
V   106.68 Å³/f.u.

a b c (Å): 10.4709 4.3128 10.5558
angles (deg): 90.00 116.47 90.00
Space group C2/m (No. 12)
Asymmetric unit:
Ho 0.0071 0.0000 0.3325
Ho 0.1918 0.0000 0.1158
Ga 0.0106 0.5000 0.8810
Ga 0.1464 0.5000 0.5671
Tc 0.2157 0.5000 0.3588



(14)
DFT (PBE) results for crystalline Ho2Ga8Tc at its relaxed geometry.

Summary:
Final energy   -48.4 eV for the cell shown
Crystal system   tetragonal
V   206.93 Å³/f.u.

a b c (Å): 4.2642 4.2642 11.3803
angles (deg): 90.00 90.00 90.00
Space group P4/mmm (No. 123)
Asymmetric unit:
Ho 0.0000 0.0000 0.1893
Ga 0.0000 0.5000 0.0000
Ga 0.0000 0.5000 0.3762
Ga 0.5000 0.5000 0.1897
Tc 0.0000 0.0000 0.5000



(15)
DFT (PBE) results for crystalline HoGaTc at its relaxed geometry.

Summary:
Excess energy over the best structure of this formula in the dataset   240 meV per atom
Final energy   -18.6 eV for the cell shown
Crystal system   hexagonal
V   59.97 Å³/f.u.

a b c (Å): 4.3490 4.3490 3.6615
angles (deg): 90.00 90.00 120.00
Space group P-6m2 (No. 187)
Asymmetric unit:
Ho 0.0000 0.0000 0.0000
Ga 0.3333 0.6667 0.5000
Tc 0.6667 0.3333 0.5000



(16)
DFT (PBE) results for crystalline HoGa12Tc4 at its relaxed geometry.

Summary:
Final energy   -163.4 eV for the cell shown
Crystal system   cubic
V   440.85 Å³/f.u.

a b c (Å): 9.5890 9.5890 9.5890
angles (deg): 90.00 90.00 90.00
Space group Im-3m (No. 229)
Asymmetric unit:
Ho 0.0000 0.0000 0.0000
Ga 0.0000 0.2617 0.2617
Tc 0.2500 0.2500 0.2500



(17)
DFT (PBE) results for crystalline Ho6GaTc2 at its relaxed geometry.

Summary:
Final energy   -212.6 eV for the cell shown
Crystal system   orthorhombic
V   226.83 Å³/f.u.

a b c (Å): 9.3431 9.4249 10.3034
angles (deg): 90.00 90.00 90.00
Space group Immm (No. 71)
Asymmetric unit:
Ho 0.0000 0.1871 0.1666
Ho 0.1830 0.2259 0.5000
Ho 0.1973 0.5000 0.2513
Ga 0.0000 0.5000 0.0000
Ga 0.0000 0.5000 0.5000
Tc 0.0000 0.0000 0.3849
Tc 0.1811 0.0000 0.0000



(18)
DFT (PBE) results for crystalline HoGaTc at its relaxed geometry.

Summary:
Excess energy over the best structure of this formula in the dataset   0 meV per atom
Final energy   -77.4 eV for the cell shown
Crystal system   orthorhombic
V   55.61 Å³/f.u.

a b c (Å): 5.3309 5.5661 7.4969
angles (deg): 90.00 90.00 90.00
Space group Imma (No. 74)
Asymmetric unit:
Ho 0.0000 0.2500 0.1147
Ga 0.0000 0.0000 0.5000
Tc 0.2500 0.2500 0.7500



(19)
DFT (PBE) results for crystalline Ho3Ga7Tc2 at its relaxed geometry.

Summary:
Final energy   -180.5 eV for the cell shown
Crystal system   trigonal
V   224.24 Å³/f.u.

a b c (Å): 5.4495 5.4495 26.1565
angles (deg): 90.00 90.00 120.00
Space group R-3m (No. 166, hexagonal axes)
Asymmetric unit:
Ho 0.0000 0.0000 0.0000
Ho 0.0000 0.0000 0.1475
Ga 0.0000 0.0000 0.5000
Ga 0.0090 0.5045 0.9203
Tc 0.0000 0.0000 0.3363



(20)
DFT (PBE) results for crystalline HoThGaTc at its relaxed geometry.

Summary:
Excess energy over the best structure of this formula in the dataset   150 meV per atom
Final energy   -105.4 eV for the cell shown
Crystal system   cubic
V   90.61 Å³/f.u.

a b c (Å): 7.1299 7.1299 7.1299
angles (deg): 90.00 90.00 90.00
Space group F-43m (No. 216)
Asymmetric unit:
Ho 0.0000 0.0000 0.0000
Th 0.0000 0.0000 0.5000
Ga 0.2500 0.2500 0.7500
Tc 0.2500 0.2500 0.2500



(21)
DFT (PBE) results for crystalline HoThGaTc at its relaxed geometry.

Summary:
Excess energy over the best structure of this formula in the dataset   0 meV per atom
Final energy   -53.9 eV for the cell shown
Crystal system   orthorhombic
V   93.28 Å³/f.u.

a b c (Å): 3.9660 4.0900 11.5005
angles (deg): 90.00 90.00 90.00
Space group Amm2 (No. 38)
Asymmetric unit:
Ho 0.0000 0.0000 0.0000
Th 0.5000 0.0000 0.7226
Ga 0.5000 0.0000 0.4265
Tc 0.0000 0.0000 0.2706



(22)
DFT (PBE) results for crystalline HoTiGaTc at its relaxed geometry.

Summary:
Final energy   -107.5 eV for the cell shown
Crystal system   cubic
V   72.51 Å³/f.u.

a b c (Å): 6.6194 6.6194 6.6194
angles (deg): 90.00 90.00 90.00
Space group F-43m (No. 216)
Asymmetric unit:
Ho 0.0000 0.0000 0.0000
Ti 0.0000 0.0000 0.5000
Ga 0.2500 0.2500 0.7500
Tc 0.2500 0.2500 0.2500



(23)
DFT (PBE) results for crystalline HoTmGaTc at its relaxed geometry.

Summary:
Final energy   -94.1 eV for the cell shown
Crystal system   cubic
V   83.39 Å³/f.u.

a b c (Å): 6.9352 6.9352 6.9352
angles (deg): 90.00 90.00 90.00
Space group F-43m (No. 216)
Asymmetric unit:
Ho 0.0000 0.0000 0.0000
Tm 0.0000 0.0000 0.5000
Ga 0.2500 0.2500 0.2500
Tc 0.2500 0.2500 0.7500



(24)
DFT (PBE) results for crystalline HoZrGaTc at its relaxed geometry.

Summary:
Final energy   -111.1 eV for the cell shown
Crystal system   cubic
V   78.93 Å³/f.u.

a b c (Å): 6.8093 6.8093 6.8093
angles (deg): 90.00 90.00 90.00
Space group F-43m (No. 216)
Asymmetric unit:
Ho 0.0000 0.0000 0.0000
Zr 0.0000 0.0000 0.5000
Ga 0.2500 0.2500 0.2500
Tc 0.2500 0.2500 0.7500



| no. | total moment (μB per cell) | Fermi-level density of states (states/eV/cell) | formation energy from the elements (eV per atom) |
| --- | --- | --- | --- |
| 1 | 0.00 | 24.80 | -0.27 |
| 2 | 0.00 | 5.39 | -0.29 |
| 3 | 0.00 | 11.24 | -0.17 |
| 4 | 0.00 | 27.50 | -0.38 |
| 5 | 0.00 | 15.17 | 0.22 |
| 6 | 0.00 | 4.75 | -0.11 |
| 7 | 0.14 | 4.14 | -0.29 |
| 8 | 0.00 | 5.34 | -0.20 |
| 9 | 0.00 | 25.69 | -0.50 |
| 10 | 0.00 | 5.32 | -0.47 |
| 11 | 0.00 | 5.43 | -0.26 |
| 12 | 0.00 | 12.18 | -0.46 |
| 13 | 0.00 | 18.02 | -0.44 |
| 14 | 0.00 | 4.19 | -0.43 |
| 15 | 0.00 | 1.98 | -0.22 |
| 16 | 0.00 | 11.63 | 0.04 |
| 17 | 0.00 | 34.31 | -0.21 |
| 18 | 0.00 | 7.30 | -0.46 |
| 19 | 0.00 | 22.96 | -0.38 |
| 20 | 0.00 | 6.84 | -0.24 |
| 21 | 0.00 | 8.05 | -0.39 |
| 22 | 0.00 | 10.80 | -0.25 |
| 23 | 0.00 | 11.69 | -0.27 |
| 24 | 0.00 | 8.57 | -0.32 |